1.
A relaxed structure of LiCe2S4, computed with PBE-GGA.

Cell and atoms, written as extended XYZ:
```
7
Lattice="3.9316 0.0000 -1.0759 -0.8921 6.2666 -3.2598 -0.0859 -0.2796 7.4074" Properties=species:S:1:pos:R:3 pbc="T T T"
Li 0.0000 0.0000 0.0000
S 2.2549 1.6639 0.5182
S 0.6988 4.3232 2.5535
S -0.2671 5.1154 -0.9759
S 3.2207 0.8717 4.0475
Ce 0.8003 1.5692 2.9244
Ce 2.1533 4.4178 0.1473
```

- Magnetic moment: 1.0 μB/f.u.
- E above lowest polymorph: 0 meV per atom
- Space-group type: C2/m


2.
A relaxed structure of LiCe2S4, computed with PBE-GGA.

Cell and atoms, written as extended XYZ:
```
14
Lattice="6.4577 0.0000 0.0143 0.0000 6.3742 0.0000 -2.3596 0.0000 7.3782" Properties=species:S:1:pos:R:3 pbc="T T T"
S 2.7063 3.1376 1.8823
S -1.8350 4.7807 6.5477
S 5.9331 1.5936 0.8448
S 1.3918 3.2366 5.5102
S 2.7063 0.0495 1.8823
S 1.3918 6.3247 5.5102
S -0.6255 4.7807 2.8380
S 4.7236 1.5936 4.5545
Ce 0.6527 1.5936 3.2646
Ce 3.4454 4.7807 4.1279
Ce 4.5226 4.7807 0.4245
Ce -0.4245 1.5936 6.9679
Li 2.9463 1.5936 6.0083
Li 1.1518 4.7807 1.3841
```

- Magnetic moment: 1.0 μB/f.u.
- E above lowest polymorph: 42 meV per atom
- Space-group type: P2_1/m


3.
A relaxed structure of Li5Ce3S8, computed with PBE-GGA.

Cell and atoms, written as extended XYZ:
```
16
Lattice="-4.6683 -1.0214 6.3306 -4.3647 -6.5871 0.6876 1.5743 -5.2675 5.2800" Properties=species:S:1:pos:R:3 pbc="T T T"
S -5.5414 -9.6883 9.2574
S -4.0293 -6.5258 3.4033
S -1.9174 -3.1876 3.0408
S -4.1827 -3.7139 6.2543
S -6.3879 -7.0419 6.6016
S -3.4294 -6.3501 8.8949
S -3.2760 -9.1621 6.0439
S -1.0708 -5.8341 5.6965
Ce -1.5470 -3.1444 5.8053
Ce 0.7872 -2.6338 2.6400
Ce -1.3952 -5.9273 2.9838
Li 0.0000 0.0000 0.0000
Li -4.5165 -3.8042 3.5091
Li -2.1824 -3.2935 0.3438
Li -2.3342 -0.5107 3.1653
Li -3.7294 -6.4380 6.1491
```

- Magnetic moment: 1.1 μB/f.u.
- Space-group type: R-3m


4.
A relaxed structure of Li2CeS2, computed with PBE-GGA.

Cell and atoms, written as extended XYZ:
```
5
Lattice="-0.2446 3.4992 -1.7760 -3.4844 1.7871 -0.3509 -0.1315 5.2475 6.0050" Properties=species:S:1:pos:R:3 pbc="T T T"
Li -2.9874 7.6120 2.3531
Li -0.8732 2.9218 1.5251
S -1.6380 6.1834 3.7045
S -2.2226 4.3504 0.1736
Ce 0.0000 0.0000 0.0000
```

- Magnetic moment: 1.2 μB/f.u.
- Space-group type: R-3m


5.
A relaxed structure of LiCe3S6, computed with PBE-GGA.

Cell and atoms, written as extended XYZ:
```
20
Lattice="-3.5419 0.7226 5.6097 -2.3351 -8.1951 -0.4187 7.1762 -0.4634 4.5907" Properties=species:S:1:pos:R:3 pbc="T T T"
S -3.1080 -4.1484 4.1668
S -1.4653 -7.0865 5.5825
S 4.7280 -3.8529 5.1068
S -4.5863 -7.4820 3.6733
S -0.5232 -2.2285 5.3794
S 6.1970 -0.5174 5.6150
S 2.7385 -1.7478 7.0745
S 2.2968 -5.8041 3.6509
S 3.0853 -0.9148 3.6911
S 0.7334 -3.0080 2.3037
S 1.0402 -5.0247 6.7267
S -0.6951 -6.3399 1.5285
Ce 1.2628 -7.5602 5.5728
Ce 1.5017 -5.5651 9.4362
Ce 2.0725 -3.2100 4.8128
Ce -1.5847 -0.0450 6.7764
Ce -1.8236 -2.0400 2.9130
Ce -1.7601 -4.5246 6.5318
Li -2.3615 -6.3728 3.3938
Li 5.3475 -1.9072 3.7163
```

- Magnetic moment: 1.2 μB/f.u.
- Space-group type: Cmc2_1


6.
A relaxed structure of Li2CeSbS4, computed with PBE-GGA.

Cell and atoms, written as extended XYZ:
```
16
Lattice="7.8772 0.0243 -0.1031 0.0188 7.8772 -0.1031 -3.9741 -3.9768 5.6936" Properties=species:S:1:pos:R:3 pbc="T T T"
Li 1.9516 -1.9762 2.7952
Li 3.9480 3.9507 -0.1031
Li -1.9870 -1.9884 2.8468
Li 3.9386 0.0122 -0.0515
Ce 0.0094 3.9386 -0.0515
Ce 5.8996 1.9745 2.6921
Sb 3.9031 -3.9525 5.5905
Sb 1.9609 1.9624 2.7437
S 1.9188 1.9877 5.5298
S 0.0254 -0.0421 2.7861
S 3.9037 -0.0195 2.7175
S 1.9200 -2.0112 5.5643
S 2.0021 5.9359 -0.0770
S 0.0183 3.9441 2.7698
S 2.0031 1.9370 -0.0424
S 3.8965 3.9669 2.7013
```

- Magnetic moment: 1.0 μB/f.u.
- Space-group type: Imma


The evaluated calculated volume for the records listed, in turn: 25.4; 21.7; 20.8; 20.5; 23.8; 21.7 A^3/atom.
The evaluated E for the records listed, in turn: -0.223; -0.221; -0.198; -0.185; -0.229; -0.183 hartree per atom.
The evaluated energy relative to the elements, uncorrected for the records listed, in turn: -1732; -1690; -1601; -1422; -1790; -1176 meV/atom.